1.
HgPtIO2 (PBE, optimized geometry); energy relative to the lowest polymorph listed for this composition = 0.647 eV per atom; ΔE_f (raw) = 0.70 eV per atom; theoretical density = 7.2 g/cm3
1.0
4.0262 0.0000 0.0000
0.0000 4.0262 0.0000
0.0000 0.0000 7.8538
Hg Pt I O
1 1 1 2
Cartesian
0.0000 0.0000 0.0000 Hg
2.0131 2.0131 3.9269 Pt
0.0000 0.0000 3.9269 I
0.0000 2.0131 0.0000 O
2.0131 0.0000 0.0000 O

2.
CaHo3Rh (PBE, optimized geometry); calculated formation energy = -300.3 meV/atom; theoretical density = 6.6 g/cm3
1.0
5.4310 0.0000 0.0000
0.0000 5.4310 0.0000
0.0000 0.0000 5.4310
Ca Ho Rh
1 3 1
Cartesian
0.0000 0.0000 0.0000 Ca
0.0000 2.7155 2.7155 Ho
2.7155 0.0000 2.7155 Ho
2.7155 2.7155 0.0000 Ho
2.7155 2.7155 2.7155 Rh

3.
Dy4ZnSe2S (PBE, optimized geometry); ΔE_f (raw) = -1.45 eV per atom; theoretical density = 8.0 g/cm3
1.0
7.0605 0.0000 0.0000
0.0000 3.9592 0.0000
-2.2493 0.0000 6.7392
Dy Zn Se S
4 1 2 1
Cartesian
1.1917 0.0000 1.5887 Dy
0.0745 1.9796 5.1068 Dy
4.7366 1.9796 1.6324 Dy
3.6195 0.0000 5.1505 Dy
3.5303 0.0000 0.0000 Zn
-1.1247 0.0000 3.3696 Se
2.4056 1.9796 3.3696 Se
0.0000 1.9796 0.0000 S

4.
SiAs2Os (PBE, optimized geometry); ΔE_f (raw) = 0.62 eV per atom; theoretical density = 9.5 g/cm3
1.0
3.0852 0.0000 0.0000
0.0000 4.2866 0.0000
0.0000 0.0000 4.8480
Si As Os
1 2 1
Cartesian
0.0000 0.0000 0.0000 Si
0.0000 2.1433 2.4240 As
1.5426 0.0000 2.4240 As
1.5426 2.1433 0.0000 Os